(1)
Density functional theory data (PBE) for a relaxed structure of CaTeH2.

Values from the calculation:
As for the magnetic moment: 0.0 μB/f.u. As for the total energy: -3.66 eV per atom. Its density of states at the Fermi level is 0.000 states/eV/atom.

Lattice parameters (Å, degrees): 4.802 8.098 8.735 90.00 112.42 90.00
Atoms (fractional coordinates):
1 Ca 0.162 0.224 0.041
2 Ca 0.162 0.276 0.541
3 Ca 0.838 0.724 0.459
4 Ca 0.838 0.776 0.959
5 Te 0.185 0.536 0.270
6 Te 0.185 0.964 0.770
7 Te 0.815 0.036 0.230
8 Te 0.815 0.464 0.730
9 H 0.396 0.645 0.955
10 H 0.396 0.855 0.455
11 H 0.491 0.630 0.047
12 H 0.491 0.870 0.547
13 H 0.509 0.130 0.453
14 H 0.509 0.370 0.953
15 H 0.604 0.145 0.545
16 H 0.604 0.355 0.045

---

(2)
Density functional theory data (PBE) for a relaxed structure of Ca2TeH.

Values from the calculation:
As for the magnetic moment: 0.0 μB/f.u. As for the total energy: -3.42 eV per atom. Its density of states at the Fermi level is 0.587 states/eV/atom.

Lattice parameters (Å, degrees): 4.243 4.243 19.738 90.00 90.00 120.00
Atoms (fractional coordinates):
1 Ca 0.000 0.000 0.237
2 Ca 0.000 0.000 0.763
3 Ca 0.333 0.667 0.429
4 Ca 0.333 0.667 0.904
5 Ca 0.667 0.333 0.096
6 Ca 0.667 0.333 0.571
7 Te 0.000 0.000 0.000
8 Te 0.333 0.667 0.667
9 Te 0.667 0.333 0.333
10 H 0.000 0.000 0.500
11 H 0.333 0.667 0.167
12 H 0.667 0.333 0.833

---

(3)
Density functional theory data (PBE) for a relaxed structure of CaTeH3.

Values from the calculation:
As for the magnetic moment: 0.0 μB/f.u. As for the total energy: -2.67 eV per atom. Its density of states at the Fermi level is 0.469 states/eV/atom.

Lattice parameters (Å, degrees): 4.278 4.278 4.278 90.00 90.00 90.00
Atoms (fractional coordinates):
1 Ca 0.000 0.000 0.000
2 Te 0.500 0.500 0.500
3 H 0.000 0.500 0.500
4 H 0.500 0.000 0.500
5 H 0.500 0.500 0.000

---

(4)
Density functional theory data (PBE) for a relaxed structure of Ca2TeH6.

Values from the calculation:
As for the magnetic moment: 0.0 μB/f.u. As for the total energy: -2.91 eV per atom. Its density of states at the Fermi level is 0.085 states/eV/atom.

Lattice parameters (Å, degrees): 5.323 5.323 5.323 60.00 60.00 60.00
Atoms (fractional coordinates):
1 Ca 0.250 0.250 0.250
2 Ca 0.750 0.750 0.750
3 Te 0.000 0.000 0.000
4 H 0.372 0.372 0.628
5 H 0.372 0.628 0.372
6 H 0.372 0.628 0.628
7 H 0.628 0.372 0.372
8 H 0.628 0.372 0.628
9 H 0.628 0.628 0.372

---

(5)
Density functional theory data (PBE) for a relaxed structure of CaTeH.

Values from the calculation:
As for the magnetic moment: 0.0 μB/f.u. As for the total energy: -3.60 eV per atom. Its density of states at the Fermi level is 0.280 states/eV/atom.

Lattice parameters (Å, degrees): 4.157 4.157 15.771 90.00 90.00 90.00
Atoms (fractional coordinates):
1 Ca 0.000 0.000 0.171
2 Ca 0.000 0.000 0.829
3 Ca 0.500 0.500 0.329
4 Ca 0.500 0.500 0.671
5 Te 0.000 0.000 0.412
6 Te 0.000 0.000 0.588
7 Te 0.500 0.500 0.088
8 Te 0.500 0.500 0.912
9 H 0.000 0.500 0.250
10 H 0.000 0.500 0.750
11 H 0.500 0.000 0.250
12 H 0.500 0.000 0.750

---

(6)
Density functional theory data (PBE) for a relaxed structure of CaTeH.

Values from the calculation:
As for the magnetic moment: 0.0 μB/f.u. As for the total energy: -3.84 eV per atom. Its density of states at the Fermi level is 0.000 states/eV/atom.

Lattice parameters (Å, degrees): 9.751 5.269 6.335 90.00 91.17 90.00
Atoms (fractional coordinates):
1 Ca 0.159 0.000 0.249
2 Ca 0.341 0.500 0.751
3 Ca 0.659 0.500 0.249
4 Ca 0.841 0.000 0.751
5 Te 0.164 0.000 0.747
6 Te 0.336 0.500 0.253
7 Te 0.664 0.500 0.747
8 Te 0.836 0.000 0.253
9 H 0.032 0.500 0.967
10 H 0.468 0.000 0.033
11 H 0.532 0.000 0.967
12 H 0.968 0.500 0.033